[1]
Density functional theory data (GGA+U) for crystalline Ba2PmMn2O6 at its relaxed geometry.

```
data_Ba2PmMn2O6
_chemical_formula_sum 'Ba6 Pm3 Mn6 O18'
_cell_length_a 6.0915
_cell_length_b 6.0915
_cell_length_c 17.8440
_cell_angle_alpha 90.00
_cell_angle_beta 90.00
_cell_angle_gamma 120.00
_space_group_name_H-M_alt 'R -3 m'
_space_group_IT_number 166
_space_group_name_Hall '-R 3 2"'
loop_
_atom_site_label
_atom_site_type_symbol
_atom_site_fract_x
_atom_site_fract_y
_atom_site_fract_z
_atom_site_occupancy
Ba1 Ba 0.0000 0.0000 0.2129 1
Pm1 Pm 0.0000 0.0000 0.0000 1
Mn1 Mn 0.0000 0.0000 0.4435 1
O1 O 0.0035 0.5018 0.7534 1
```

[2]
Density functional theory data (GGA+U) for crystalline BaPmMn2O8 at its relaxed geometry.

```
data_BaPmMn2O8
_chemical_formula_sum 'Ba1 Pm1 Mn2 O8'
_cell_length_a 5.7080
_cell_length_b 5.7080
_cell_length_c 7.8267
_cell_angle_alpha 90.00
_cell_angle_beta 90.00
_cell_angle_gamma 120.00
_space_group_name_H-M_alt 'P -3'
_space_group_IT_number 147
loop_
_space_group_symop_operation_xyz
'x,y,z'
'-x,-y,-z'
'-y,x-y,z'
'y,-x+y,-z'
'-x+y,-x,z'
'x-y,x,-z'
loop_
_atom_site_label
_atom_site_type_symbol
_atom_site_fract_x
_atom_site_fract_y
_atom_site_fract_z
_atom_site_occupancy
Ba1 Ba 0.0000 0.0000 0.0000 1
Pm1 Pm 0.0000 0.0000 0.5000 1
Mn1 Mn 0.3333 0.6667 0.7746 1
O1 O 0.1691 0.8280 0.7043 1
O2 O 0.3333 0.6667 0.9860 1
```

[3]
Density functional theory data (GGA+U) for crystalline Ba3PmMn2O9 at its relaxed geometry.

```
data_Ba3PmMn2O9
_chemical_formula_sum 'Ba3 Pm1 Mn2 O9'
_cell_length_a 5.8536
_cell_length_b 5.8536
_cell_length_c 7.2749
_cell_angle_alpha 90.00
_cell_angle_beta 90.00
_cell_angle_gamma 120.00
_space_group_name_H-M_alt 'P -3 m 1'
_space_group_IT_number 164
_space_group_name_Hall '-P 3 2"'
loop_
_atom_site_label
_atom_site_type_symbol
_atom_site_fract_x
_atom_site_fract_y
_atom_site_fract_z
_atom_site_occupancy
Ba1 Ba 0.0000 0.0000 0.0000 1
Ba2 Ba 0.3333 0.6667 0.6859 1
Pm1 Pm 0.0000 0.0000 0.5000 1
Mn1 Mn 0.3333 0.6667 0.1626 1
O1 O 0.0000 0.5000 0.0000 1
O2 O 0.1804 0.3607 0.3099 1
```

[4]
Density functional theory data (GGA+U) for crystalline BaPrMn2O5 at its relaxed geometry.

```
data_BaPrMn2O5
_chemical_formula_sum 'Ba1 Pr1 Mn2 O5'
_cell_length_a 4.034
_cell_length_b 4.034
_cell_length_c 7.944
_cell_angle_alpha 90.00
_cell_angle_beta 90.00
_cell_angle_gamma 90.00
_space_group_name_H-M_alt 'P 4/m m m'
_space_group_IT_number 123
_space_group_name_Hall '-P 4 2'
loop_
_atom_site_label
_atom_site_type_symbol
_atom_site_fract_x
_atom_site_fract_y
_atom_site_fract_z
_atom_site_occupancy
Ba1 Ba 0.000 0.000 0.000 1
Pr1 Pr 0.000 0.000 0.500 1
Mn1 Mn 0.500 0.500 0.260 1
O1 O 0.000 0.500 0.309 1
O2 O 0.500 0.500 0.000 1
```

[5]
Density functional theory data (GGA+U) for crystalline BaPrMn2O8 at its relaxed geometry.

```
data_BaPrMn2O8
_chemical_formula_sum 'Ba1 Pr1 Mn2 O8'
_cell_length_a 5.7335
_cell_length_b 5.7335
_cell_length_c 7.8931
_cell_angle_alpha 90.00
_cell_angle_beta 90.00
_cell_angle_gamma 120.00
_space_group_name_H-M_alt 'P -3 m 1'
_space_group_IT_number 164
_space_group_name_Hall '-P 3 2"'
loop_
_atom_site_label
_atom_site_type_symbol
_atom_site_fract_x
_atom_site_fract_y
_atom_site_fract_z
_atom_site_occupancy
Ba1 Ba 0.0000 0.0000 0.0000 1
Pr1 Pr 0.0000 0.0000 0.5000 1
Mn1 Mn 0.3333 0.6667 0.7786 1
O1 O 0.1713 0.3427 0.7084 1
O2 O 0.3333 0.6667 0.9881 1
```

[6]
Density functional theory data (GGA+U) for crystalline Ba4PrMn3O12 at its relaxed geometry.

```
data_Ba4PrMn3O12
_chemical_formula_sum 'Ba12 Pr3 Mn9 O36'
_cell_length_a 5.9139
_cell_length_b 5.9139
_cell_length_c 29.9277
_cell_angle_alpha 90.00
_cell_angle_beta 90.00
_cell_angle_gamma 120.00
_space_group_name_H-M_alt 'R -3 m'
_space_group_IT_number 166
_space_group_name_Hall '-R 3 2"'
loop_
_atom_site_label
_atom_site_type_symbol
_atom_site_fract_x
_atom_site_fract_y
_atom_site_fract_z
_atom_site_occupancy
Ba1 Ba 0.0000 0.0000 0.1304 1
Ba2 Ba 0.0000 0.0000 0.2775 1
Pr1 Pr 0.0000 0.0000 0.0000 1
Mn1 Mn 0.0000 0.0000 0.4138 1
Mn2 Mn 0.0000 0.0000 0.5000 1
O1 O 0.0237 0.5119 0.2854 1
O2 O 0.0403 0.5202 0.1259 1
```

The total magnetization results, record by record, are as follows: 0.273; 0.250; 0.470; 1.000; 0.250; 0.419 μB/atom.
The E results, record by record, are as follows: -73.5; -82.2; -103.5; -67.7; -82.1; -138.3 eV per formula unit.